DFT (PBE+U) results for FeTcF2 after structural relaxation.

Computed properties:
**V**: 47.2 Å³/cell
**Symmetry**: R-3m
**Total magnetization**: 0.840 μB per atom
**Energy relative to the lowest polymorph listed for this composition**: 0.00 eV per formula unit
**Total energy**: -5.777 eV per atom
**DOS at the Fermi energy**: 2.5 states/eV/f.u.
**ρ**: 6747 kg/m³

Cell and atoms, written as POSCAR:
```
FeTcF2
1.0
1.351 0.780 7.462
-1.351 0.780 7.462
0.000 -1.561 7.462
Fe Tc F
1 1 2
direct
0.000 0.000 0.000
0.500 0.500 0.500
0.406 0.406 0.406
0.594 0.594 0.594
```